1.
Compound: LaZr2
Source: Alexandria via LeMat-Bulk
Functional: SCAN
Structure: single point on PBEsol structure

Unit cell a=3.845 b=3.845 c=5.763 alpha=109.48 beta=109.48 gamma=90.00
Element x y z (fractional)
Zr  0.319  0.319  0.638
Zr  0.681  0.681  0.362
La  0.000  0.000  0.000

For the energy above the most stable polymorph in this dataset, the calculation gives 46.5 meV per atom. Its formation energy is 223 meV/atom. The value obtained for the magnetic moment is 0.00 μB/cell. The calculation puts the volume at 25.038 Å³ per atom.

2.
Compound: LaZr3
Source: Alexandria via LeMat-Bulk
Functional: SCAN
Structure: single point on PBEsol structure

Unit cell a=3.161 b=5.967 c=5.967 alpha=116.95 beta=100.17 gamma=100.17
Element x y z (fractional)
La  0.000  0.000  0.000
Zr  0.500  0.500  0.000
Zr  0.000  0.500  0.500
Zr  0.500  0.000  0.500

Its formation energy is 265 meV/atom. The value obtained for the magnetic moment is 0.00 μB/cell. The calculation puts the volume at 23.609 Å³ per atom.

3.
Compound: Li
Source: Alexandria via LeMat-Bulk
Functional: SCAN
Structure: single point on PBEsol structure

Unit cell a=2.860 b=4.009 c=4.009 alpha=82.69 beta=69.10 gamma=69.10
Element x y z (fractional)
Li  0.250  0.500  0.500
Li  0.500  0.000  0.000

For the energy above the most stable polymorph in this dataset, the calculation gives 84.4 meV per atom. Its formation energy is 84 meV/atom. The value obtained for the magnetic moment is 0.02 μB/cell. The calculation puts the volume at 20.058 Å³ per atom.

4.
Compound: Li
Source: Alexandria via LeMat-Bulk
Functional: SCAN
Structure: single point on PBEsol structure

Unit cell a=3.090 b=3.021 c=3.090 alpha=59.25 beta=90.00 gamma=120.75
Element x y z (fractional)
Li  0.000  0.000  0.000

For the energy above the most stable polymorph in this dataset, the calculation gives 12.3 meV per atom. Its formation energy is 12 meV/atom. The value obtained for the magnetic moment is 0.03 μB/cell. The calculation puts the volume at 19.924 Å³ per atom.